CaPa2CrO8 | GGA+U | relaxed

Computed properties:
volume: 167.86 Å³/cell
DFT total energy: -103.5 eV/f.u.

Unit cell a=4.8729 b=4.8742 c=7.0681 alpha=89.99 beta=89.97 gamma=89.21
Each line ends with the local moment (μB).
Positions (direct):
O  0.2834  0.2830  0.0002  -0.07
Ca  0.0000  0.0000  0.5000  0.00
Pa  0.5002  0.5002  0.2457  0.01
O  0.3202  0.3197  0.4998  0.00
Cr  0.0000  0.0000  0.0000  2.22
O  0.8060  0.1940  0.2108  -0.03
O  0.1940  0.8060  0.7892  -0.03
Pa  0.4998  0.4998  0.7543  0.01
O  0.8062  0.1948  0.7890  -0.03
O  0.6798  0.6803  0.5002  0.00
O  0.1938  0.8052  0.2110  -0.03
O  0.7166  0.7170  0.9998  -0.07